Material: Li7Mn2Co3O12
Method: DFT, PBE with a Hubbard U
State: optimized geometry

Mass density (Mg/m³): 4.093
Calculated volume (Å³ per cell): 214
Total DFT energy (no corrections) (eV per cell): -140.28
Energy above the most stable polymorph in this dataset (meV/atom): 52

Lattice parameters (Å, degrees): 5.1427 2.8756 14.4669 90.00 90.54 90.00
Space group P2/m (No. 10)
Unique sites:
1 Li 0.0000 0.0000 0.0000 (multiplicity 1)
2 Li 0.0000 0.0000 0.5000 (multiplicity 1)
3 Li 0.1743 0.5000 0.1655 (multiplicity 2)
4 Li 0.3339 0.0000 0.3370 (multiplicity 2)
5 Li 0.5000 0.5000 0.5000 (multiplicity 1)
6 Mn 0.1531 0.5000 0.6614 (multiplicity 2)
7 Co 0.3301 0.0000 0.8338 (multiplicity 2)
8 Co 0.5000 0.5000 0.0000 (multiplicity 1)
9 O 0.0183 0.0000 0.7417 (multiplicity 2)
10 O 0.1446 0.5000 0.4093 (multiplicity 2)
11 O 0.1761 0.5000 0.9134 (multiplicity 2)
12 O 0.3133 0.0000 0.5926 (multiplicity 2)
13 O 0.3498 0.0000 0.0823 (multiplicity 2)
14 O 0.4669 0.5000 0.7504 (multiplicity 2)